(1)
Pu2TlCdO8 after structural relaxation. Source: the Alexandria database, functional PBE.

Cell: 6.168 6.168 6.084 Å, 90.00 90.00 120.00°
Fractional positions:
Pu (0.333, 0.667, 0.435)
Pu (0.667, 0.333, 0.565)
Tl (0.000, 0.000, 0.500)
Cd (0.000, 0.000, 0.000)
O (0.060, 0.383, 0.641)
O (0.323, 0.940, 0.641)
O (0.333, 0.667, 0.132)
O (0.383, 0.323, 0.359)
O (0.617, 0.677, 0.641)
O (0.667, 0.333, 0.868)
O (0.677, 0.060, 0.359)
O (0.940, 0.617, 0.359)

Formation energy from raw total energies in eV per atom: -1.488

(2)
Pu2FeRe after structural relaxation. Source: the Alexandria database, functional PBE.

Cell: 3.553 3.553 4.967 Å, 90.00 90.00 90.00°
Fractional positions:
Pu (0.000, 0.500, 0.000)
Pu (0.500, 0.000, 0.000)
Fe (0.000, 0.000, 0.500)
Re (0.500, 0.500, 0.500)

Excess energy over the best structure of this formula in the dataset in meV per atom: 397.3
Formation energy from the elements in eV per atom: 0.566

(3)
UCoSiN after structural relaxation. Source: the Alexandria database, functional PBE.

Cell: 3.835 3.835 7.581 Å, 90.00 90.00 90.00°
Fractional positions:
U (0.250, 0.250, 0.154)
U (0.750, 0.750, 0.846)
Co (0.250, 0.750, 0.500)
Co (0.750, 0.250, 0.500)
Si (0.250, 0.250, 0.656)
Si (0.750, 0.750, 0.344)
N (0.250, 0.750, 0.000)
N (0.750, 0.250, 0.000)

Formation energy from raw total energies in eV per atom: -0.925

(4)
Dy4CdPd2Au after structural relaxation. Source: the Alexandria database, functional PBE.

Cell: 8.803 8.803 8.803 Å, 33.46 33.46 33.46°
Fractional positions:
Dy (0.122, 0.122, 0.122)
Dy (0.372, 0.372, 0.372)
Dy (0.628, 0.628, 0.628)
Dy (0.878, 0.878, 0.878)
Cd (0.500, 0.500, 0.500)
Pd (0.244, 0.244, 0.244)
Pd (0.756, 0.756, 0.756)
Au (0.000, 0.000, 0.000)

Formation energy from the elements in eV per atom: -0.722

(5)
Li3LaPb2 after structural relaxation. Source: the Alexandria database, functional PBE.

Cell: 8.436 8.436 8.627 Å, 115.34 115.34 32.49°
Fractional positions:
Li (0.041, 0.041, 0.377)
Li (0.301, 0.301, 0.515)
Li (0.400, 0.400, 0.320)
Li (0.600, 0.600, 0.680)
Li (0.699, 0.699, 0.485)
Li (0.959, 0.959, 0.623)
La (0.145, 0.145, 0.056)
La (0.855, 0.855, 0.944)
Pb (0.198, 0.198, 0.715)
Pb (0.471, 0.471, 0.811)
Pb (0.529, 0.529, 0.189)
Pb (0.802, 0.802, 0.285)

Excess energy over the best structure of this formula in the dataset in meV per atom: 13.4
Formation energy from the elements in eV per atom: -0.395

(6)
Mg6Bi2Au after structural relaxation. Source: the Alexandria database, functional PBE.

Cell: 4.149 7.743 7.743 Å, 119.96 90.00 90.00°
Fractional positions:
Mg (0.000, 0.000, 0.000)
Mg (0.000, 0.523, 0.762)
Mg (0.000, 0.762, 0.523)
Mg (0.500, 0.128, 0.761)
Mg (0.500, 0.395, 0.395)
Mg (0.500, 0.761, 0.128)
Bi (0.000, 0.095, 0.428)
Bi (0.000, 0.428, 0.095)
Au (0.500, 0.762, 0.762)

Formation energy from the elements in eV per atom: -0.309

no.,DFT total energy (eV/atom)
1,-7.46
2,-11.83
3,-8.96
4,-4.85
5,-3.41
6,-2.60